(1)
A plane-wave DFT calculation with GGA-PBE was carried out for NiGe2Mo after structural relaxation.

Lattice parameters (Å, degrees): 4.329 4.329 4.329 60.00 60.00 60.00
Fractional positions:
Ni (0.000, 0.000, 0.000)
Mo (0.500, 0.500, 0.500)
Ge (0.250, 0.250, 0.250)
Ge (0.750, 0.750, 0.750)

magnetic moment: 0.00 μB/f.u.
total DFT energy (no corrections): -25.508 eV/f.u.

***

(2)
A plane-wave DFT calculation with GGA-PBE was carried out for Dy4Sb2P after structural relaxation.

Lattice parameters (Å, degrees): 6.673 6.524 9.293 90.00 109.23 90.00
Fractional positions:
Dy (0.495, 0.497, 0.238)
Dy (0.059, 0.750, 0.858)
Dy (0.941, 0.250, 0.142)
Dy (0.495, 0.003, 0.238)
Dy (0.904, 0.250, 0.565)
Dy (0.505, 0.997, 0.762)
Dy (0.505, 0.503, 0.762)
Dy (0.096, 0.750, 0.435)
Sb (0.716, 0.750, 0.057)
Sb (0.284, 0.250, 0.943)
Sb (0.308, 0.250, 0.459)
Sb (0.692, 0.750, 0.541)
P (0.155, 0.750, 0.163)
P (0.845, 0.250, 0.837)

magnetic moment: 0.00 μB/f.u.
formation energy (no corrections): -588 kJ/mol of formula units
total DFT energy (no corrections): -38.161 eV/f.u.

***

(3)
A plane-wave DFT calculation with GGA-PBE was carried out for Sc4Zn2GaCu after structural relaxation.

Lattice parameters (Å, degrees): 4.712 4.712 8.162 73.22 73.22 60.00
Fractional positions:
Sc (0.377, 0.377, 0.870)
Sc (0.873, 0.873, 0.380)
Sc (0.127, 0.127, 0.620)
Sc (0.623, 0.623, 0.130)
Zn (0.750, 0.750, 0.749)
Zn (0.250, 0.250, 0.251)
Ga (0.000, 0.000, 0.000)
Cu (0.500, 0.500, 0.500)

magnetic moment: 0.00 μB/f.u.
total DFT energy (no corrections): -38.315 eV/f.u.